! CeH4IrAu2 (PBE-GGA, relaxed); values from VASP
&SYSTEM
  ibrav = 0, nat = 8, ntyp = 4
/
ATOMIC_SPECIES
Au 196.97 Au.upf
H 1.01 H.upf
Ir 192.22 Ir.upf
Ce 140.12 Ce.upf
ATOMIC_POSITIONS angstrom
Au 0.1829 -2.6713 2.7298
Au 0.2069 -0.0269 1.2716
H 1.8046 4.7268 0.7636
H 3.9992 4.3567 1.1579
H 3.5375 1.9561 1.6017
H 1.1674 2.6569 1.9392
Ir 2.6135 3.3951 1.3648
Ce 2.8206 -0.7864 2.6840
CELL_PARAMETERS angstrom
5.3335 -0.0593 0.1631
-0.0625 7.0036 -0.0959
-2.5397 -3.5187 2.7345
! - DOS at the Fermi energy: 6.173 states/eV/f.u.
! - Raw total energy: -4.59 eV per atom
! - Symmetry: P1, No. 1
! - Theoretical density: 11.74 g/cm3